Record 1
Here is an optimized crystal structure of Ac2PaTcO8 from Alexandria via LeMat-Bulk. Energies are from PBE-GGA.

```
12
Lattice="4.3985 0.0000 0.0000 0.0000 7.4156 0.0000 -0.6580 0.0000 5.5681" Properties=species:S:1:pos:R:3 pbc="T T T"
Ac 0.0000 1.7974 0.0000
Ac 0.0000 5.6182 0.0000
Pa 1.8703 3.7078 2.7841
Tc 1.8703 0.0000 2.7841
O 0.1751 3.7078 1.4789
O 0.3868 0.0000 1.7595
O 1.4236 1.8053 3.9995
O 1.4236 5.6103 3.9995
O 2.3169 1.8053 1.5686
O 2.3169 5.6103 1.5686
O 3.3538 0.0000 3.8086
O 3.5655 3.7078 4.0892
```

## Properties
Total magnetic moment   0.0063 μB/atom
Formation energy (no corrections)   -2.741 eV per atom
SG   P2/m (10)

---

Record 2
Here is an optimized crystal structure of AcPaTc2O8 from Alexandria via LeMat-Bulk. Energies are from PBE-GGA.

```
12
Lattice="5.8632 0.0000 0.0000 -2.9316 5.0777 0.0000 0.0000 0.0000 7.2418" Properties=species:S:1:pos:R:3 pbc="T T T"
Ac 0.0000 0.0000 0.0000
Pa 0.0000 0.0000 3.6209
Tc 0.0000 3.3851 5.8324
Tc 2.9316 1.6926 1.4094
O 0.0000 1.6055 5.1257
O -1.5412 4.2750 5.1257
O 1.3904 0.8027 2.1161
O 0.0000 3.3851 0.3835
O 2.9316 1.6926 6.8583
O 1.5412 4.2750 5.1257
O 4.4728 0.8027 2.1161
O 2.9316 3.4722 2.1161
```

## Properties
Total magnetic moment   0.1683 μB/atom
Formation energy (no corrections)   -2.086 eV per atom
SG   P-3m1 (164)

---

Record 3
Here is an optimized crystal structure of AcPaTe2O8 from Alexandria via LeMat-Bulk. Energies are from PBE-GGA.

```
12
Lattice="-3.7844 3.7844 3.6033 3.7844 -3.7844 3.6033 3.7844 3.7844 -3.6033" Properties=species:S:1:pos:R:3 pbc="T T T"
Ac 0.0000 0.0000 0.0000
Pa 3.7844 0.0000 1.8017
Te 0.0000 0.0000 3.6033
Te 0.0000 3.7844 1.8017
O 2.2484 3.7844 -1.3581
O 1.5360 0.0000 2.2453
O 0.0000 2.4702 0.2369
O 3.7844 2.2484 1.3581
O 0.0000 5.0986 0.2369
O 0.0000 1.5360 4.9614
O -1.3142 3.7844 3.3664
O 1.3142 3.7844 3.3664
```

## Properties
Total magnetic moment   0.0000 μB/atom
Formation energy (no corrections)   -2.076 eV per atom
SG   I-4m2 (119)

---

Record 4
Here is an optimized crystal structure of AcPaTeO6 from Alexandria via LeMat-Bulk. Energies are from PBE-GGA.

```
18
Lattice="5.8546 0.0000 0.0000 -2.9273 5.0702 0.0000 0.0000 0.0000 10.4771" Properties=species:S:1:pos:R:3 pbc="T T T"
Ac 0.0000 0.0000 0.0000
Ac 0.0000 0.0000 5.2385
Pa 0.0000 3.3801 2.6193
Pa 2.9273 1.6901 7.8578
Te 0.0000 3.3801 7.8578
Te 2.9273 1.6901 2.6193
O -1.0440 1.8137 1.4858
O -1.8785 3.2592 3.7528
O 1.0440 1.8137 3.7528
O -0.8345 5.0675 1.4858
O 2.0927 0.0027 6.7243
O 1.0487 1.8110 8.9913
O 1.8785 3.2592 1.4858
O 0.8345 5.0675 3.7528
O 3.7618 0.0027 8.9913
O 1.8833 3.2565 6.7243
O 4.8058 1.8110 6.7243
O 3.9713 3.2565 8.9913
```

## Properties
Total magnetic moment   0.0000 μB/atom
Formation energy (no corrections)   -2.667 eV per atom
SG   P-31c (163)